Entry 1:
First-principles (PBE) data for crystalline SrUAs2O8 at its relaxed geometry, as listed in the Alexandria database.

Cell and atoms, written as CIF:
```
data_SrUAs2O8
_chemical_formula_sum 'Sr1 U1 As2 O8'
_symmetry_space_group_name_H-M 'P -3'
_symmetry_Int_Tables_number 147
_symmetry_space_group_name_Hall '-P 3'
_cell_length_a 5.6876
_cell_length_b 5.6876
_cell_length_c 7.3424
_cell_angle_alpha 90.00
_cell_angle_beta 90.00
_cell_angle_gamma 120.00
loop_
_atom_site_label
_atom_site_fract_x
_atom_site_fract_y
_atom_site_fract_z
_atom_site_occupancy
Sr1 0.0000 0.0000 0.0000 1
U1 0.0000 0.0000 0.5000 1
As1 0.3333 0.6667 0.7867 1
O1 0.1644 0.3362 0.7011 1
O2 0.3333 0.6667 0.0153 1
```

Computed properties:
energy relative to the elements, uncorrected: -24.67 eV per formula unit
calculated density: 4.87 g cm⁻³
magnetic moment: 2.000 μB per formula unit
DOS(E_F): 3.45 states/eV/f.u.

---

Entry 2:
First-principles (PBE) data for crystalline AcGdSn2 at its relaxed geometry, as listed in the Alexandria database.

Cell and atoms, written as CIF:
```
data_AcGdSn2
_chemical_formula_sum 'Ac1 Gd1 Sn2'
_symmetry_space_group_name_H-M 'P 4/m m m'
_symmetry_Int_Tables_number 123
_symmetry_space_group_name_Hall '-P 4 2'
_cell_length_a 3.6504
_cell_length_b 3.6504
_cell_length_c 9.0960
_cell_angle_alpha 90.00
_cell_angle_beta 90.00
_cell_angle_gamma 90.00
loop_
_atom_site_label
_atom_site_fract_x
_atom_site_fract_y
_atom_site_fract_z
_atom_site_occupancy
Ac1 0.0000 0.0000 0.0000 1
Gd1 0.0000 0.0000 0.5000 1
Sn1 0.5000 0.5000 0.2656 1
```

Computed properties:
calculated density: 8.52 g cm⁻³
energy relative to the elements: -0.632 eV per atom
magnetic moment: 7.348 μB per formula unit
DOS(E_F): 3.26 states/eV/f.u.

---

Entry 3:
First-principles (PBE) data for crystalline Ag2PtI at its relaxed geometry, as listed in the Alexandria database.

Cell and atoms, written as CIF:
```
data_Ag2PtI
_chemical_formula_sum 'Ag8 Pt4 I4'
_symmetry_space_group_name_H-M 'F m -3 m'
_symmetry_Int_Tables_number 225
_symmetry_space_group_name_Hall '-F 4 2 3'
_cell_length_a 6.9205
_cell_length_b 6.9205
_cell_length_c 6.9205
_cell_angle_alpha 90.00
_cell_angle_beta 90.00
_cell_angle_gamma 90.00
loop_
_atom_site_label
_atom_site_fract_x
_atom_site_fract_y
_atom_site_fract_z
_atom_site_occupancy
Ag1 0.2500 0.2500 0.2500 1
Pt1 0.0000 0.0000 0.0000 1
I1 0.0000 0.0000 0.5000 1
```

Computed properties:
energy relative to the elements, uncorrected: 1.84 eV per formula unit
calculated density: 10.78 g cm⁻³
magnetic moment: 0.000 μB per formula unit
energy above the lowest structure with this stoichiometry: 104 meV per atom
DOS(E_F): 2.09 states/eV/f.u.

---

Entry 4:
First-principles (PBE) data for crystalline NiGeI at its relaxed geometry, as listed in the Alexandria database.

Cell and atoms, written as CIF:
```
data_NiGeI
_chemical_formula_sum 'Ni4 Ge4 I4'
_symmetry_space_group_name_H-M 'C 1 2/m 1'
_symmetry_Int_Tables_number 12
_symmetry_space_group_name_Hall '-C 2y'
_cell_length_a 12.0806
_cell_length_b 3.8521
_cell_length_c 6.5686
_cell_angle_alpha 90.00
_cell_angle_beta 110.69
_cell_angle_gamma 90.00
loop_
_atom_site_label
_atom_site_fract_x
_atom_site_fract_y
_atom_site_fract_z
_atom_site_occupancy
Ni1 0.2447 0.0000 0.2503 1
Ge1 0.1731 0.0000 0.8628 1
I1 0.1090 0.5000 0.3117 1
```

Computed properties:
energy relative to the elements, uncorrected: -0.02 eV per formula unit
calculated density: 6.00 g cm⁻³
magnetic moment: 0.000 μB per formula unit
DOS(E_F): 1.77 states/eV/f.u.